i:
Entry from Alexandria via LeMat-Bulk: Al2GeBi2 after structural relaxation (PBE-GGA).

## Properties
Crystal system: tetragonal

abc: 8.2124 8.2124 3.8413
angles: 90.00 90.00 90.00
Space group P4/mbm (No. 127)
Asymmetric unit:
Al 0.1258 0.3742 0.0000
Ge 0.0000 0.0000 0.5000
Bi 0.1706 0.6706 0.5000


ii:
Entry from Alexandria via LeMat-Bulk: Al2GeBi2 after structural relaxation (PBE-GGA).

## Properties
Crystal system: tetragonal

abc: 6.7631 6.7631 5.4944
angles: 90.00 90.00 90.00
Space group P4/mbm (No. 127)
Asymmetric unit:
Al 0.1381 0.3619 0.0000
Ge 0.0000 0.0000 0.0000
Bi 0.2347 0.7347 0.5000


Most stable one: ii, least stable one: i.


i:
Entry from Alexandria via LeMat-Bulk: AlGe2Bi after structural relaxation (PBE-GGA).

## Properties
Crystal system: tetragonal

abc: 6.0995 6.0995 12.3942
angles: 90.00 90.00 90.00
Space group I-42d (No. 122)
Asymmetric unit:
Al 0.0000 0.0000 0.0000
Ge 0.2109 0.2500 0.1250
Bi 0.0000 0.0000 0.5000


ii:
Entry from Alexandria via LeMat-Bulk: AlGe2Bi after structural relaxation (PBE-GGA).

## Properties
Crystal system: cubic

abc: 7.1199 7.1199 7.1199
angles: 90.00 90.00 90.00
Space group Fm-3m (No. 225)
Asymmetric unit:
Al 0.0000 0.0000 0.0000
Ge 0.2500 0.2500 0.2500
Bi 0.0000 0.0000 0.5000


Most stable one: i, least stable one: ii.


i:
Entry from Alexandria via LeMat-Bulk: Al2GeBi after structural relaxation (PBE-GGA).

## Properties
Crystal system: cubic

abc: 7.0579 7.0579 7.0579
angles: 90.00 90.00 90.00
Space group Fm-3m (No. 225)
Asymmetric unit:
Al 0.2500 0.2500 0.2500
Ge 0.0000 0.0000 0.0000
Bi 0.0000 0.0000 0.5000


ii:
Entry from Alexandria via LeMat-Bulk: Al2GeBi after structural relaxation (PBE-GGA).

## Properties
Crystal system: tetragonal

abc: 6.1899 6.1899 11.9438
angles: 90.00 90.00 90.00
Space group I-42d (No. 122)
Asymmetric unit:
Al 0.2079 0.2500 0.1250
Ge 0.0000 0.0000 0.0000
Bi 0.0000 0.0000 0.5000


Most stable one: ii, least stable one: i.